Entry 1:
ErBiPd | PBE-GGA | relaxed

## Properties
Electronic total energy in eV per atom: -5.366
SG: No. 189

abc: 7.6062 7.6062 4.1528
angles: 90.00 90.00 120.00
Positions (direct):
Bi 0.0000 0.2715 0.0000
Pd 0.6667 0.3333 0.0000
Er 0.3940 0.3940 0.5000
Bi 0.2715 0.0000 0.0000
Er 0.6060 0.0000 0.5000
Bi 0.7285 0.7285 0.0000
Pd 0.0000 0.0000 0.5000
Pd 0.3333 0.6667 0.0000
Er 0.0000 0.6060 0.5000

---

Entry 2:
GdYTlNi2 | PBE-GGA | relaxed

## Properties
Electronic total energy in eV per atom: -5.393
SG: No. 38

abc: 3.7059 7.5158 7.5158
angles: 30.14 90.00 90.00
Positions (direct):
Gd 0.5000 0.3607 0.3607
Ni 0.0000 0.7993 0.7993
Tl 0.0000 0.0004 0.0004
Ni 0.0000 0.2008 0.2008
Y 0.5000 0.6388 0.6388

---

Entry 3:
InHg3Te4Os | PBE-GGA | relaxed

## Properties
Electronic total energy in eV per atom: -2.767
SG: No. 215

abc: 7.4527 7.4527 7.4527
angles: 90.00 90.00 90.00
Last column: magnetic moment on the atom in μB.
Positions (direct):
Te 0.6947 0.6947 0.3053  0.01
Te 0.3053 0.6947 0.6947  0.01
Hg 0.5000 0.0000 0.5000  0.00
Te 0.6947 0.3053 0.6947  0.01
Hg 0.0000 0.5000 0.5000  0.00
In 0.0000 0.0000 0.0000  0.04
Hg 0.5000 0.5000 0.0000  0.00
Os 0.5000 0.5000 0.5000  0.16
Te 0.3053 0.3053 0.3053  0.01

---

Entry 4:
MgNb2 | PBE-GGA | relaxed

## Properties
Electronic total energy in eV per atom: -3.279
SG: No. 227

abc: 8.8830 8.8830 8.8830
angles: 60.00 60.00 60.00
Last column: magnetic moment on the atom in μB.
Positions (direct):
Nb 0.6250 0.1250 0.1250  3.05
Nb 0.1250 0.6250 0.1250  2.69
Nb 0.1250 0.1250 0.1250  2.62
Mg 0.2500 0.2500 0.2500  0.03
Nb 0.1250 0.1250 0.6250  2.59
Mg 0.0000 0.0000 0.0000  0.03

---

Entry 5:
PdS2 | PBE-GGA | relaxed

## Properties
Electronic total energy in eV per atom: -4.569
SG: No. 65

abc: 4.4030 4.4030 3.4801
angles: 90.00 90.00 114.07
Positions (direct):
Pd 0.0000 0.0000 0.0000
S 0.2132 0.7868 0.5000
S 0.7868 0.2132 0.5000

---

Entry 6:
HoSbO4 | PBE-GGA | relaxed

## Properties
Electronic total energy in eV per atom: -6.997
SG: No. 141

abc: 6.0811 6.0811 6.0811
angles: 107.80 107.80 112.87
Positions (direct):
O 0.0551 0.7446 0.6895
Ho 0.0000 0.0000 0.0000
O 0.4946 0.3051 0.1895
O 0.6344 0.9449 0.6895
Sb 0.2500 0.7500 0.5000
O 0.1156 0.3051 0.8105
Ho 0.7500 0.2500 0.5000
O 0.6949 0.5054 0.8105
O 0.6949 0.8844 0.1895
O 0.0551 0.3656 0.3105
O 0.2554 0.9449 0.3105
Sb 0.5000 0.5000 0.0000

---

Entry 7:
Mg2SnOs | PBE-GGA | relaxed

## Properties
Electronic total energy in eV per atom: -4.455
SG: No. 216

abc: 4.6414 4.6414 4.6414
angles: 60.00 60.00 60.00
Positions (direct):
Mg 0.7500 0.7500 0.7500
Sn 0.5000 0.5000 0.5000
Os 0.2500 0.2500 0.2500
Mg 0.0000 0.0000 0.0000

---

Entry 8:
La3HgSe | PBE-GGA | relaxed

## Properties
Electronic total energy in eV per atom: -4.538
SG: No. 74

abc: 7.8529 7.8529 7.8529
angles: 120.15 90.69 119.05
Positions (direct):
La 0.3880 0.6380 0.7500
La 0.1726 0.5000 0.1726
Se 0.5000 0.5000 0.0000
La 0.6120 0.3620 0.2500
Hg 0.2252 0.9752 0.2500
La 0.8274 0.0000 0.3274
Hg 0.7748 0.0248 0.7500
La 0.8274 0.5000 0.8274
Se 0.0000 0.5000 0.5000
La 0.1726 0.0000 0.6726

---

Entry 9:
MgNbInCu | PBE-GGA | relaxed

## Properties
Electronic total energy in eV per atom: -4.190
SG: No. 216

abc: 4.6448 4.6448 4.6448
angles: 60.00 60.00 60.00
Last column: magnetic moment on the atom in μB.
Positions (direct):
Mg 0.7500 0.7500 0.7500  0.01
Nb 0.5000 0.5000 0.5000  1.39
Cu 0.2500 0.2500 0.2500  0.07
In 0.0000 0.0000 0.0000  -0.04

---

Entry 10:
Zr3PtC | PBE-GGA | relaxed

## Properties
Electronic total energy in eV per atom: -8.983
SG: No. 74

abc: 6.3521 6.3521 6.3521
angles: 119.53 90.37 120.04
Positions (direct):
Zr 0.3029 0.0000 0.8029
Zr 0.3029 0.5000 0.3029
C 0.5000 0.5000 0.0000
C 0.0000 0.5000 0.5000
Zr 0.1514 0.4014 0.7500
Zr 0.8486 0.5986 0.2500
Zr 0.6971 0.0000 0.1971
Pt 0.2675 0.0175 0.2500
Zr 0.6971 0.5000 0.6971
Pt 0.7325 0.9825 0.7500

---

Entry 11:
SiAsPdO | PBE-GGA | relaxed

## Properties
Electronic total energy in eV per atom: -5.706
SG: No. 26

abc: 2.9318 6.8152 6.5233
angles: 90.00 90.00 90.00
Positions (direct):
Si 0.0000 0.3328 0.9652
As 0.0000 0.6551 0.8322
Pd 0.5000 0.8488 0.0409
O 0.5000 0.2136 0.9157
As 0.0000 0.3449 0.3322
O 0.5000 0.7864 0.4157
Pd 0.5000 0.1512 0.5409
Si 0.0000 0.6672 0.4652

---

Entry 12:
Nd3In2O6 | PBE-GGA | relaxed

## Properties
Electronic total energy in eV per atom: -6.651
SG: No. 139

abc: 10.1500 10.1500 10.1500
angles: 156.66 156.66 33.25
Positions (direct):
Nd 0.3189 0.3189 0.0000
O 0.1027 0.6027 0.5000
Nd 0.5000 0.5000 0.0000
In 0.9249 0.9249 0.0000
O 0.7938 0.7938 0.0000
O 0.3973 0.8973 0.5000
In 0.0751 0.0751 0.0000
O 0.6027 0.1027 0.5000
O 0.2062 0.2062 0.0000
Nd 0.6811 0.6811 0.0000
O 0.8973 0.3973 0.5000

---

Entry 13:
DyTmAl2 | PBE-GGA | relaxed

## Properties
Electronic total energy in eV per atom: -4.531
SG: No. 63

abc: 6.1903 6.1903 5.0552
angles: 90.00 90.00 109.64
Positions (direct):
Dy 0.1283 0.8717 0.2500
Tm 0.3705 0.6295 0.7500
Al 0.8658 0.6265 0.7500
Tm 0.6295 0.3705 0.2500
Al 0.3735 0.1342 0.7500
Dy 0.8717 0.1283 0.7500
Al 0.1342 0.3735 0.2500
Al 0.6265 0.8658 0.2500

---

Entry 14:
TbHoPd2 | PBE-GGA | relaxed

## Properties
E_form in eV/atom: -0.9233
Electronic total energy in eV per atom: -5.812
SG: No. 26

abc: 4.4728 5.6971 6.8894
angles: 90.00 90.00 90.00
Positions (direct):
Ho 0.0000 0.8914 0.6811
Pd 0.5000 0.9061 0.9574
Tb 0.5000 0.6088 0.3194
Pd 0.0000 0.4032 0.5422
Ho 0.0000 0.1086 0.1811
Pd 0.0000 0.5968 0.0422
Tb 0.5000 0.3912 0.8194
Pd 0.5000 0.0939 0.4574

---

Entry 15:
AlNiHg2 | PBE-GGA | relaxed

## Properties
Electronic total energy in eV per atom: -2.199
SG: No. 216

abc: 4.6484 4.6484 4.6484
angles: 60.00 60.00 60.00
Positions (direct):
Ni 0.2500 0.2500 0.2500
Al 0.5000 0.5000 0.5000
Hg 0.0000 0.0000 0.0000
Hg 0.7500 0.7500 0.7500

---

Entry 16:
MoPt6W | PBE-GGA | relaxed

## Properties
E_form in eV/atom: -0.2273
Electronic total energy in eV per atom: -7.745
SG: No. 187

abc: 5.5615 5.5615 4.5877
angles: 90.00 90.00 120.00
Positions (direct):
Pt 0.8382 0.6763 0.5000
Pt 0.3237 0.1618 0.5000
W 0.3333 0.6667 0.5000
Pt 0.4952 0.5048 0.0000
Mo 0.0000 0.0000 0.0000
Pt 0.4952 0.9904 0.0000
Pt 0.0096 0.5048 0.0000
Pt 0.8382 0.1618 0.5000

---

Entry 17:
LiPmMgHg | PBE-GGA | relaxed

## Properties
Electronic total energy in eV per atom: -2.460
SG: No. 216

abc: 5.0553 5.0553 5.0553
angles: 60.00 60.00 60.00
Positions (direct):
Mg 0.0000 0.0000 0.0000
Hg 0.7500 0.7500 0.7500
Pm 0.5000 0.5000 0.5000
Li 0.2500 0.2500 0.2500

---

Entry 18:
RbGaPd | PBE-GGA | relaxed

## Properties
Electronic total energy in eV per atom: -2.836
SG: No. 216

abc: 4.9846 4.9846 4.9846
angles: 60.00 60.00 60.00
Positions (direct):
Pd 0.0000 0.0000 0.0000
Ga 0.2500 0.2500 0.2500
Rb 0.7500 0.7500 0.7500

---

Entry 19:
GdMgMo | PBE-GGA | relaxed

## Properties
Electronic total energy in eV per atom: -4.761
SG: No. 216

abc: 4.8395 4.8395 4.8395
angles: 60.00 60.00 60.00
Last column: magnetic moment on the atom in μB.
Positions (direct):
Gd 0.2500 0.2500 0.2500  0.31
Mg 0.7500 0.7500 0.7500  -0.02
Mo 0.0000 0.0000 0.0000  2.20

---

Entry 20:
BaNiN2 | PBE-GGA | relaxed

## Properties
Electronic total energy in eV per atom: -6.036
SG: No. 64

abc: 6.3254 6.3254 7.6965
angles: 90.00 90.00 125.56
Last column: magnetic moment on the atom in μB.
Positions (direct):
N 0.6097 0.3903 0.5891  0.03
N 0.3903 0.6097 0.4109  0.03
N 0.8903 0.1097 0.0891  0.04
N 0.6387 0.8613 0.7500  0.03
Ba 0.1609 0.8391 0.5664  0.00
Ba 0.6609 0.3391 0.9336  0.00
N 0.1097 0.8903 0.9109  0.04
Ba 0.8391 0.1609 0.4336  0.00
Ba 0.3391 0.6609 0.0664  0.00
N 0.3613 0.1387 0.2500  0.03
N 0.1387 0.3613 0.7500  0.02
N 0.8613 0.6387 0.2500  0.02
Ni 0.9439 0.0561 0.8601  0.07
Ni 0.5561 0.4439 0.3601  0.06
Ni 0.0561 0.9439 0.1399  0.07
Ni 0.4439 0.5561 0.6399  0.06